Record 1
DFT (meta-GGA SCAN) results for a PBEsol-optimized structure of ReSbSe2.

**Crystal system**: trigonal
**Space-group type**: R-3m
**Uncorrected energy**: -36.424 eV per atom
**Formation energy from raw total energies**: 0.704 eV per atom
**ρ**: 8.97 g/cm3

a b c (Å): 11.9410 11.9410 11.9410
angles (deg): 13.96 13.96 13.96
Sites, in units of the cell vectors:
1 Re 0.0000 0.0000 0.0000
2 Sb 0.5000 0.5000 0.5000
3 Se 0.0685 0.0685 0.0685
4 Se 0.9315 0.9315 0.9315


Record 2
DFT (meta-GGA SCAN) results for a PBEsol-optimized structure of ReSb2Se.

**Crystal system**: monoclinic
**Space-group type**: C2/m
**Uncorrected energy**: -40.611 eV per atom
**Formation energy from raw total energies**: 0.814 eV per atom
**ρ**: 10.64 g/cm3

a b c (Å): 4.9818 4.9818 3.3857
angles (deg): 99.47 99.47 101.94
Sites, in units of the cell vectors:
1 Re 0.0000 0.0000 0.0000
2 Sb 0.0000 0.5000 0.5000
3 Sb 0.5000 0.0000 0.5000
4 Se 0.5000 0.5000 0.0000


Record 3
DFT (meta-GGA SCAN) results for a PBEsol-optimized structure of ReSbSe2.

**Crystal system**: cubic
**Space-group type**: F-43m
**Uncorrected energy**: -36.115 eV per atom
**Formation energy from raw total energies**: 1.014 eV per atom
**ρ**: 10.69 g/cm3

a b c (Å): 4.6779 4.6779 4.6779
angles (deg): 60.00 60.00 60.00
Sites, in units of the cell vectors:
1 Re 0.0000 0.0000 0.0000
2 Sb 0.7500 0.7500 0.7500
3 Se 0.2500 0.2500 0.2500
4 Se 0.5000 0.5000 0.5000


Record 4
DFT (meta-GGA SCAN) results for a PBEsol-optimized structure of ReSb2Se.

**Crystal system**: trigonal
**Space-group type**: R-3m
**Uncorrected energy**: -41.027 eV per atom
**Formation energy from raw total energies**: 0.398 eV per atom
**ρ**: 10.25 g/cm3

a b c (Å): 8.3005 8.3005 8.3005
angles (deg): 23.89 23.89 23.89
Sites, in units of the cell vectors:
1 Re 0.0000 0.0000 0.0000
2 Sb 0.2562 0.2562 0.2562
3 Sb 0.7438 0.7438 0.7438
4 Se 0.5000 0.5000 0.5000


Record 5
DFT (meta-GGA SCAN) results for a PBEsol-optimized structure of ReSb2Se.

**Crystal system**: orthorhombic
**Space-group type**: Cmmm
**Uncorrected energy**: -40.504 eV per atom
**Formation energy from raw total energies**: 0.921 eV per atom
**ρ**: 10.81 g/cm3

a b c (Å): 4.9352 4.9352 3.2996
angles (deg): 90.00 90.00 103.42
Sites, in units of the cell vectors:
1 Re 0.0000 0.0000 0.0000
2 Sb 0.0000 0.5000 0.5000
3 Sb 0.5000 0.0000 0.5000
4 Se 0.5000 0.5000 0.0000


Record 6
DFT (meta-GGA SCAN) results for a PBEsol-optimized structure of ReSb2Se.

**Crystal system**: cubic
**Space-group type**: F-43m
**Uncorrected energy**: -40.544 eV per atom
**Formation energy from raw total energies**: 0.880 eV per atom
**ρ**: 10.85 g/cm3

a b c (Å): 4.7935 4.7935 4.7935
angles (deg): 60.00 60.00 60.00
Sites, in units of the cell vectors:
1 Re 0.0000 0.0000 0.0000
2 Sb 0.2500 0.2500 0.2500
3 Sb 0.5000 0.5000 0.5000
4 Se 0.7500 0.7500 0.7500


Record 7
DFT (meta-GGA SCAN) results for a PBEsol-optimized structure of ReSbSe2.

**Crystal system**: orthorhombic
**Space-group type**: Imm2
**Uncorrected energy**: -36.764 eV per atom
**Formation energy from raw total energies**: 0.365 eV per atom
**ρ**: 9.29 g/cm3

a b c (Å): 6.6987 6.6987 6.6987
angles (deg): 153.31 141.75 47.25
Sites, in units of the cell vectors:
1 Re 0.0000 0.0000 0.0000
2 Sb 0.1947 0.6947 0.5000
3 Se 0.5378 0.5378 0.0000
4 Se 0.8425 0.3425 0.5000


Record 8
DFT (meta-GGA SCAN) results for a PBEsol-optimized structure of Re2SiSb.

**Crystal system**: trigonal
**Space-group type**: R-3m
**Uncorrected energy**: -46.879 eV per atom
**Formation energy from raw total energies**: 0.489 eV per atom
**ρ**: 13.91 g/cm3
**Excess energy over the best structure of this formula in the dataset**: 0.228 eV per atom

a b c (Å): 8.3557 8.3557 8.3557
angles (deg): 20.45 20.45 20.45
Sites, in units of the cell vectors:
1 Re 0.2435 0.2435 0.2435
2 Re 0.7565 0.7565 0.7565
3 Si 0.5000 0.5000 0.5000
4 Sb 0.0000 0.0000 0.0000